Record 1
An optimized crystal structure of YMg3Cd2, computed with PBE.

Computed properties:
Size of the total moment ... 0.00 μB per atom
SG ... C2/m
Energy of formation ... -0.160 eV per atom

a b c (Å): 4.773 9.477 8.789
angles (deg): 48.51 74.25 75.42
Sites, in units of the cell vectors:
Y: 0.886 0.182 0.046
Y: 0.114 0.818 0.954
Mg: 0.379 0.505 0.737
Mg: 0.621 0.495 0.263
Mg: 0.699 0.070 0.532
Mg: 0.928 0.703 0.441
Mg: 0.072 0.297 0.559
Mg: 0.301 0.930 0.468
Cd: 0.479 0.835 0.207
Cd: 0.761 0.652 0.825
Cd: 0.521 0.165 0.793
Cd: 0.239 0.348 0.175

=====

Record 2
An optimized crystal structure of Y3Mg2Cd4, computed with PBE.

Computed properties:
Size of the total moment ... 0.00 μB per atom
SG ... C2/m
Energy of formation ... -0.278 eV per atom

a b c (Å): 5.010 6.082 9.313
angles (deg): 116.74 90.00 114.32
Sites, in units of the cell vectors:
Cd: 0.058 0.116 0.389
Cd: 0.276 0.552 0.940
Cd: 0.724 0.448 0.060
Cd: 0.942 0.884 0.611
Mg: 0.619 0.238 0.287
Mg: 0.381 0.762 0.713
Y: 0.664 0.328 0.671
Y: 0.336 0.672 0.329
Y: 0.000 0.000 0.000

=====

Record 3
An optimized crystal structure of Y3Mg4Cd4, computed with PBE.

Computed properties:
Size of the total moment ... 0.00 μB per atom
SG ... I-43m
Energy of formation ... 0.008 eV per atom

a b c (Å): 7.215 7.215 7.215
angles (deg): 109.47 109.47 109.47
Sites, in units of the cell vectors:
Cd: 0.611 0.000 0.000
Cd: 0.000 0.611 0.000
Cd: 0.000 0.000 0.611
Cd: 0.389 0.389 0.389
Mg: 0.745 0.745 0.745
Mg: 0.000 0.000 0.255
Mg: 0.255 0.000 0.000
Mg: 0.000 0.255 0.000
Y: 0.500 0.500 0.000
Y: 0.000 0.500 0.500
Y: 0.500 0.000 0.500

=====

Record 4
An optimized crystal structure of YMg4Cd, computed with PBE.

Computed properties:
Size of the total moment ... 0.00 μB per atom
SG ... Pmma
Energy of formation ... -0.082 eV per atom

a b c (Å): 4.348 7.892 8.573
angles (deg): 90.00 90.00 90.00
Sites, in units of the cell vectors:
Y: 0.000 0.378 0.250
Y: 0.000 0.622 0.750
Mg: 0.500 0.059 0.250
Mg: 0.500 0.685 0.047
Mg: 0.500 0.685 0.453
Mg: 0.500 0.315 0.547
Mg: 0.500 0.941 0.750
Mg: 0.000 0.000 0.000
Mg: 0.000 0.000 0.500
Mg: 0.500 0.315 0.953
Cd: 0.000 0.773 0.250
Cd: 0.000 0.227 0.750

=====

> What is the size of the total moment in the first record?

0.00 μB per atom